DFT (GGA-PBE) results for LaCrIr3 after structural relaxation.

As for the density of states at the Fermi level: 8.71 states/eV per cell. The calculation puts the excess energy over the best structure of this formula in the dataset at 1805 meV per atom.

Lattice parameters (Å, degrees): 4.9211 4.9211 4.9211 90.00 90.00 90.00
Closest atoms and distances in Å follow each position.
Space group Pm-3m (No. 221)
Symmetry-distinct sites (fractional):
La 0.0000 0.0000 0.0000 [1 per cell]  6 Ir 2.46
Cr 0.5000 0.5000 0.5000 [1 per cell]  12 Ir 3.48
Ir 0.0000 0.0000 0.5000 [3 per cell]  2 La 2.46

---

DFT (GGA-PBE) results for PmPu2Ge2 after structural relaxation.

As for the density of states at the Fermi level: 14.53 states/eV per cell. The calculation puts the excess energy over the best structure of this formula in the dataset at 76 meV per atom.

Lattice parameters (Å, degrees): 4.3102 4.3102 14.0429 90.00 90.00 120.00
Closest atoms and distances in Å follow each position.
Space group P6_3/mmc (No. 194)
Symmetry-distinct sites (fractional):
Pm 0.3333 0.6667 0.2500 [2 per cell]  6 Ge 3.06
Pu 0.3333 0.6667 0.5110 [4 per cell]  3 Pu 2.51
Ge 0.0000 0.0000 0.1231 [4 per cell]  6 Pu 2.94-3.12, 3 Pm 3.06

---

> Which of these has the lowest excess energy over the best structure of this formula in the dataset?

PmPu2Ge2

---

> Look up the excess energy over the best structure of this formula in the dataset of the second one.

76 meV per atom